1.
An optimized crystal structure of InHgTe2, computed with PBE.

Computed properties:
The calculation puts the density of states at the Fermi level at 0.17 states/eV per atom. As for the raw formation energy: -0.031 eV/atom. The total energy is -2.36 eV per atom. As for the space group: Cm, No. 8. The calculated density is 7.367 g/cm³.

Unit cell a=8.285 b=3.252 c=9.574 alpha=90.00 beta=94.27 gamma=90.00
Positions (direct):
In 0.000 0.000 0.000
In 0.500 0.500 0.000
Hg 0.326 0.500 0.734
Hg 0.826 0.000 0.734
Te 0.050 0.500 0.543
Te 0.292 0.000 0.205
Te 0.550 0.000 0.543
Te 0.792 0.500 0.205

***

2.
An optimized crystal structure of Ba3SnSb, computed with PBE.

Computed properties:
The calculation puts the density of states at the Fermi level at 0.47 states/eV per atom. As for the raw formation energy: -0.740 eV/atom. The total energy is -3.52 eV per atom. As for the space group: C2/m, No. 12. The calculated density is 4.898 g/cm³.

Unit cell a=9.641 b=9.641 c=9.972 alpha=95.22 beta=95.22 gamma=28.65
Positions (direct):
Ba 0.049 0.049 0.168
Ba 0.237 0.237 0.821
Ba 0.399 0.399 0.417
Ba 0.601 0.601 0.583
Ba 0.763 0.763 0.179
Ba 0.951 0.951 0.832
Sn 0.209 0.209 0.434
Sn 0.791 0.791 0.566
Sb 0.391 0.391 0.068
Sb 0.609 0.609 0.932

***

3.
An optimized crystal structure of Pm2ZnSn3Ir4, computed with PBE.

Computed properties:
The calculation puts the density of states at the Fermi level at 0.66 states/eV per atom. For the energy relative to the elements, the calculation gives -510 meV per atom. The total energy is -6.33 eV per atom. As for the space group: P-4m2, No. 115. The calculated density is 11.674 g/cm³.

Unit cell a=4.354 b=4.354 c=11.108 alpha=90.00 beta=90.00 gamma=90.00
Positions (direct):
Pm 0.000 0.500 0.247
Pm 0.500 0.000 0.753
Zn 0.500 0.500 0.000
Sn 0.000 0.000 0.000
Sn 0.000 0.500 0.633
Sn 0.500 0.000 0.367
Ir 0.000 0.000 0.500
Ir 0.000 0.500 0.866
Ir 0.500 0.000 0.134
Ir 0.500 0.500 0.500

***

4.
An optimized crystal structure of Hg4PdAu, computed with PBE.

Computed properties:
The calculation puts the density of states at the Fermi level at 0.25 states/eV per atom. For the energy relative to the elements, the calculation gives -39 meV per atom. The total energy is -1.65 eV per atom. As for the space group: Cmmm, No. 65. The calculated density is 12.668 g/cm³.

Unit cell a=6.034 b=9.840 c=4.883 alpha=90.00 beta=90.00 gamma=90.00
Positions (direct):
Hg 0.245 0.000 0.000
Hg 0.250 0.250 0.500
Hg 0.250 0.750 0.500
Hg 0.255 0.500 0.000
Hg 0.745 0.500 0.000
Hg 0.750 0.250 0.500
Hg 0.750 0.750 0.500
Hg 0.755 0.000 0.000
Pd 0.000 0.000 0.500
Pd 0.500 0.500 0.500
Au 0.000 0.500 0.500
Au 0.500 0.000 0.500

***

5.
An optimized crystal structure of KCu3, computed with PBE.

Computed properties:
The calculation puts the density of states at the Fermi level at 0.29 states/eV per atom. For the energy relative to the elements, the calculation gives 365 meV per atom. The total energy is -2.98 eV per atom. As for the space group: Pmm2, No. 25. The calculated density is 4.838 g/cm³.

Unit cell a=2.806 b=4.053 c=6.932 alpha=90.00 beta=90.00 gamma=90.00
Positions (direct):
K 0.000 0.000 0.000
Cu 0.000 0.500 0.621
Cu 0.500 0.000 0.546
Cu 0.500 0.500 0.332

***

6.
An optimized crystal structure of PmNdBi2, computed with PBE.

Computed properties:
The calculation puts the density of states at the Fermi level at 0.96 states/eV per atom. For the energy relative to the elements, the calculation gives -694 meV per atom. The total energy is -5.01 eV per atom. As for the space group: Fm-3m, No. 225. The calculated density is 9.349 g/cm³.

Unit cell a=7.950 b=7.950 c=7.950 alpha=90.00 beta=90.00 gamma=90.00
Positions (direct):
Pm 0.000 0.000 0.000
Pm 0.000 0.500 0.500
Pm 0.500 0.000 0.500
Pm 0.500 0.500 0.000
Nd 0.000 0.000 0.500
Nd 0.000 0.500 0.000
Nd 0.500 0.000 0.000
Nd 0.500 0.500 0.500
Bi 0.250 0.250 0.250
Bi 0.250 0.250 0.750
Bi 0.250 0.750 0.250
Bi 0.250 0.750 0.750
Bi 0.750 0.250 0.250
Bi 0.750 0.250 0.750
Bi 0.750 0.750 0.250
Bi 0.750 0.750 0.750

***

7.
An optimized crystal structure of PuUZnRe, computed with PBE.

Computed properties:
The calculation puts the density of states at the Fermi level at 1.47 states/eV per atom. For the energy relative to the elements, the calculation gives 60 meV per atom. The total energy is -9.78 eV per atom. As for the space group: F-43m, No. 216. The calculated density is 16.804 g/cm³.

Unit cell a=6.619 b=6.619 c=6.619 alpha=90.00 beta=90.00 gamma=90.00
Positions (direct):
Pu 0.000 0.000 0.000
Pu 0.000 0.500 0.500
Pu 0.500 0.000 0.500
Pu 0.500 0.500 0.000
U 0.250 0.250 0.750
U 0.250 0.750 0.250
U 0.750 0.250 0.250
U 0.750 0.750 0.750
Zn 0.250 0.250 0.250
Zn 0.250 0.750 0.750
Zn 0.750 0.250 0.750
Zn 0.750 0.750 0.250
Re 0.000 0.000 0.500
Re 0.000 0.500 0.000
Re 0.500 0.000 0.000
Re 0.500 0.500 0.500

***

8.
An optimized crystal structure of Ti5Bi2O, computed with PBE.

Computed properties:
The calculation puts the density of states at the Fermi level at 1.11 states/eV per atom. As for the raw formation energy: -0.398 eV/atom. The total energy is -6.92 eV per atom. As for the space group: Cmcm, No. 63. The calculated density is 6.779 g/cm³.

Unit cell a=7.901 b=7.901 c=11.321 alpha=90.00 beta=90.00 gamma=152.18
Positions (direct):
Ti 0.139 0.861 0.630
Ti 0.139 0.861 0.870
Ti 0.248 0.752 0.250
Ti 0.307 0.693 0.549
Ti 0.307 0.693 0.951
Ti 0.693 0.307 0.049
Ti 0.693 0.307 0.451
Ti 0.752 0.248 0.750
Ti 0.861 0.139 0.130
Ti 0.861 0.139 0.370
Bi 0.057 0.943 0.114
Bi 0.057 0.943 0.386
Bi 0.943 0.057 0.614
Bi 0.943 0.057 0.886
O 0.252 0.748 0.750
O 0.748 0.252 0.250

***

9.
An optimized crystal structure of PaAl8Co4, computed with PBE.

Computed properties:
The calculation puts the density of states at the Fermi level at 0.74 states/eV per atom. For the energy relative to the elements, the calculation gives -468 meV per atom. The total energy is -5.69 eV per atom. As for the space group: I4/mmm, No. 139. The calculated density is 6.087 g/cm³.

Unit cell a=6.558 b=6.558 c=6.558 alpha=98.71 beta=98.71 gamma=134.21
Positions (direct):
Pa 0.000 0.000 0.000
Al 0.000 0.343 0.343
Al 0.000 0.657 0.657
Al 0.279 0.500 0.779
Al 0.343 0.000 0.343
Al 0.500 0.279 0.779
Al 0.500 0.721 0.221
Al 0.657 0.000 0.657
Al 0.721 0.500 0.221
Co 0.000 0.000 0.500
Co 0.000 0.500 0.000
Co 0.500 0.000 0.000
Co 0.500 0.500 0.500

***

10.
An optimized crystal structure of Ca2TcAs, computed with PBE.

Computed properties:
The calculation puts the density of states at the Fermi level at 0.79 states/eV per atom. For the energy relative to the elements, the calculation gives -256 meV per atom. The total energy is -5.01 eV per atom. As for the space group: Amm2, No. 38. The calculated density is 4.209 g/cm³.

Unit cell a=4.142 b=4.462 c=10.805 alpha=90.00 beta=90.00 gamma=90.00
Positions (direct):
Ca 0.000 0.000 0.000
Ca 0.000 0.500 0.500
Ca 0.500 0.000 0.287
Ca 0.500 0.500 0.787
Tc 0.000 0.000 0.697
Tc 0.000 0.500 0.197
As 0.500 0.000 0.583
As 0.500 0.500 0.083

***

11.
An optimized crystal structure of PaCu3Ge3, computed with PBE.

Computed properties:
The calculation puts the density of states at the Fermi level at 0.60 states/eV per atom. For the energy relative to the elements, the calculation gives -29 meV per atom. The total energy is -5.12 eV per atom. As for the space group: P-1, No. 2. The calculated density is 8.977 g/cm³.

Unit cell a=5.459 b=5.727 c=8.456 alpha=107.52 beta=100.92 gamma=102.60
Positions (direct):
Pa 0.189 0.015 0.234
Pa 0.811 0.985 0.766
Cu 0.139 0.436 0.604
Cu 0.231 0.972 0.566
Cu 0.404 0.630 0.420
Cu 0.596 0.370 0.580
Cu 0.769 0.028 0.434
Cu 0.861 0.564 0.396
Ge 0.123 0.435 0.117
Ge 0.319 0.866 0.860
Ge 0.375 0.334 0.842
Ge 0.625 0.666 0.158
Ge 0.681 0.134 0.140
Ge 0.877 0.565 0.883

***

12.
An optimized crystal structure of Ca4Ga3Pt2, computed with PBE.

Computed properties:
The calculation puts the density of states at the Fermi level at 0.36 states/eV per atom. For the energy relative to the elements, the calculation gives -685 meV per atom. The total energy is -3.93 eV per atom. As for the space group: C2/m, No. 12. The calculated density is 5.842 g/cm³.

Unit cell a=8.099 b=8.099 c=7.063 alpha=107.53 beta=107.53 gamma=29.37
Positions (direct):
Ca 0.078 0.078 0.371
Ca 0.270 0.270 0.815
Ca 0.730 0.730 0.185
Ca 0.922 0.922 0.629
Ga 0.398 0.398 0.284
Ga 0.500 0.500 0.000
Ga 0.602 0.602 0.716
Pt 0.096 0.096 0.943
Pt 0.904 0.904 0.057